No. 1
Density functional theory data (GGA-PBE) for crystalline ZrBeFe2 at its relaxed geometry.

POSCAR file:
```
ZrBeFe2
1.0
0.000 3.003 3.003
3.003 0.000 3.003
3.003 3.003 0.000
Zr Be Fe
1 1 2
Cartesian
0.000 0.000 0.000
4.505 4.505 4.505
1.502 1.502 1.502
3.003 3.003 3.003
```

## Properties
ρ = 6.50 g/cm3
V = 13.544 A^3/atom
Formation energy from the elements = 0.2 eV/f.u.
Space group = F-43m, No. 216

***

No. 2
Density functional theory data (GGA-PBE) for crystalline ZrBeFe2 at its relaxed geometry.

POSCAR file:
```
ZrBeFe2
1.0
3.067 0.000 0.000
0.000 3.067 0.000
0.000 0.000 5.563
Zr Be Fe
1 1 2
Cartesian
0.000 0.000 0.000
0.000 0.000 2.781
1.534 1.534 1.682
1.534 1.534 3.881
```

## Properties
ρ = 6.72 g/cm3
V = 13.083 A^3/atom
Formation energy from the elements = -0.2 eV/f.u.
Space group = P4/mmm, No. 123

***

No. 3
Density functional theory data (GGA-PBE) for crystalline ZrBe2Fe at its relaxed geometry.

POSCAR file:
```
ZrBe2Fe
1.0
-1.939 1.939 7.467
1.939 -1.939 7.467
1.939 1.939 -7.467
Zr Be Fe
2 4 2
Cartesian
1.939 0.969 1.867
0.000 0.969 5.600
0.000 0.000 0.000
0.969 0.969 -3.733
0.969 -0.969 3.733
0.000 1.939 0.000
1.939 -0.969 5.600
0.000 2.908 1.867
```

## Properties
Distance to the lowest polymorph of the same formula = 400 meV/atom
ρ = 4.88 g/cm3
V = 14.036 A^3/atom
Formation energy from the elements = 1.1 eV/f.u.
Space group = I4_1/amd, No. 141

***

No. 4
Density functional theory data (GGA-PBE) for crystalline ZrBeFe2 at its relaxed geometry.

POSCAR file:
```
ZrBeFe2
1.0
1.901 1.097 4.397
-1.901 1.097 4.397
0.000 -2.195 4.397
Zr Be Fe
1 1 2
Cartesian
0.000 0.000 0.000
0.000 0.000 2.661
0.000 0.000 6.458
0.000 0.000 10.534
```

## Properties
ρ = 6.39 g/cm3
V = 13.762 A^3/atom
Formation energy from the elements = -0.4 eV/f.u.
Space group = R3m, No. 160

***

No. 5
Density functional theory data (GGA-PBE) for crystalline ZrBeFe2 at its relaxed geometry.

POSCAR file:
```
ZrBeFe2
1.0
3.861 0.000 0.000
0.000 3.861 0.000
0.000 0.000 3.457
Zr Be Fe
1 1 2
Cartesian
0.000 0.000 0.000
1.931 1.931 0.000
0.000 1.931 1.728
1.931 0.000 1.728
```

## Properties
ρ = 6.83 g/cm3
V = 12.883 A^3/atom
Formation energy from the elements = 0.1 eV/f.u.
Space group = P4/mmm, No. 123

***

No. 6
Density functional theory data (GGA-PBE) for crystalline ZrBe2Fe at its relaxed geometry.

POSCAR file:
```
ZrBe2Fe
1.0
0.000 2.913 2.913
2.913 0.000 2.913
2.913 2.913 0.000
Zr Be Fe
1 2 1
Cartesian
0.000 0.000 0.000
1.457 1.457 1.457
4.370 4.370 4.370
2.913 2.913 2.913
```

## Properties
Distance to the lowest polymorph of the same formula = 87 meV/atom
ρ = 5.55 g/cm3
V = 12.359 A^3/atom
Formation energy from the elements = -0.1 eV/f.u.
Space group = Fm-3m, No. 225